CsRb2NaZn: optimized geometry, GGA-PBE.

POSCAR file:
```
CsRb2NaZn
1.0
7.028 0.000 0.000
0.000 7.028 0.000
0.000 0.000 7.236
Cs Na Zn Rb
1 1 1 2
Direct
0.000 0.000 0.500 Cs
0.500 0.500 0.500 Na
0.000 0.000 0.000 Zn
0.000 0.500 0.000 Rb
0.500 0.000 0.000 Rb
```

Computed properties:
- energy relative to the elements (meV per atom) = 156
- final energy (eV/atom) = -0.921

CsRbNa2Zn: optimized geometry, GGA-PBE.

POSCAR file:
```
CsRbNa2Zn
1.0
6.305 0.000 0.000
0.000 6.305 0.000
0.000 0.000 6.903
Cs Na Zn Rb
1 2 1 1
Direct
0.000 0.000 0.500 Cs
0.000 0.500 0.000 Na
0.500 0.000 0.000 Na
0.000 0.000 0.000 Zn
0.500 0.500 0.500 Rb
```

Computed properties:
- energy relative to the elements (meV per atom) = 131
- final energy (eV/atom) = -1.016